(1)
## NiTe2I (PBE-GGA)

Data for crystalline NiTe2I at its relaxed geometry.

Formation energy (no corrections) in eV per atom: 0.519
Spin magnetization in μB/f.u.: 0.0

```
data_NiTe2I
_symmetry_space_group_name_H-M 'P 4/m m m'
_symmetry_Int_Tables_number 123
_symmetry_space_group_name_Hall '-P 4 2'
_cell_length_a 4.302
_cell_length_b 4.302
_cell_length_c 5.964
_cell_angle_alpha 90.00
_cell_angle_beta 90.00
_cell_angle_gamma 90.00
loop_
_atom_site_label
_atom_site_fract_x
_atom_site_fract_y
_atom_site_fract_z
Ni1 0.000 0.000 0.000
Te1 0.000 0.000 0.500
Te2 0.500 0.500 0.000
I1 0.500 0.500 0.500
```

---

(2)
## PmNd4Dy10 (PBE-GGA)

Data for crystalline PmNd4Dy10 at its relaxed geometry.

Spin magnetization in μB/f.u.: 0.0
Energy of formation in eV/f.u.: 11.395

```
data_PmNd4Dy10
_symmetry_space_group_name_H-M 'I 4/m'
_symmetry_Int_Tables_number 87
_symmetry_space_group_name_Hall '-I 4'
_cell_length_a 12.237
_cell_length_b 12.237
_cell_length_c 7.770
_cell_angle_alpha 90.00
_cell_angle_beta 90.00
_cell_angle_gamma 90.00
loop_
_atom_site_label
_atom_site_fract_x
_atom_site_fract_y
_atom_site_fract_z
Pm1 0.000 0.000 0.000
Nd1 0.101 0.299 0.500
Dy1 0.000 0.500 0.250
Dy2 0.099 0.800 0.250
```

---

(3)
## CsCd2Pd2 (PBE-GGA)

Data for crystalline CsCd2Pd2 at its relaxed geometry.

Spin magnetization in μB/f.u.: 0.0
Energy of formation in eV/f.u.: -0.503

```
data_CsCd2Pd2
_symmetry_space_group_name_H-M 'P 4/m b m'
_symmetry_Int_Tables_number 127
_symmetry_space_group_name_Hall '-P 4 2ab'
_cell_length_a 8.516
_cell_length_b 8.516
_cell_length_c 3.171
_cell_angle_alpha 90.00
_cell_angle_beta 90.00
_cell_angle_gamma 90.00
loop_
_atom_site_label
_atom_site_fract_x
_atom_site_fract_y
_atom_site_fract_z
Cs1 0.000 0.000 0.000
Cd1 0.137 0.363 0.500
Pd1 0.152 0.652 0.000
```

---

(4)
## NpH2PbO6 (PBE-GGA)

Data for crystalline NpH2PbO6 at its relaxed geometry.

Total energy in eV per cell: -69.208
Spin magnetization in μB/f.u.: 0.0

```
data_NpH2PbO6
_symmetry_space_group_name_H-M 'P -1'
_symmetry_Int_Tables_number 2
_cell_length_a 5.228
_cell_length_b 5.405
_cell_length_c 5.977
_cell_angle_alpha 63.64
_cell_angle_beta 68.36
_cell_angle_gamma 64.90
loop_
_symmetry_equiv_pos_as_xyz
'x,y,z'
'-x,-y,-z'
loop_
_atom_site_label
_atom_site_fract_x
_atom_site_fract_y
_atom_site_fract_z
Np1 0.000 0.000 0.000
H1 0.410 0.228 0.239
Pb1 0.500 0.500 0.500
O1 0.085 0.356 0.776
O2 0.237 0.934 0.216
O3 0.407 0.760 0.761
```

---

(5)
## NdTm8Sc6 (PBE-GGA)

Data for crystalline NdTm8Sc6 at its relaxed geometry.

Spin magnetization in μB/f.u.: 0.0
Energy of formation in eV/f.u.: 2.558

```
data_NdTm8Sc6
_symmetry_space_group_name_H-M 'R -3'
_symmetry_Int_Tables_number 148
_symmetry_space_group_name_Hall '-R 3'
_cell_length_a 8.6154
_cell_length_b 8.6154
_cell_length_c 19.9442
_cell_angle_alpha 90.00
_cell_angle_beta 90.00
_cell_angle_gamma 120.00
loop_
_atom_site_label
_atom_site_fract_x
_atom_site_fract_y
_atom_site_fract_z
Nd1 0.0000 0.0000 0.0000
Tm1 0.0000 0.0000 0.4213
Tm2 0.0805 0.5618 0.8073
Sc1 0.0433 0.2371 0.7063
```

---

(6)
## Sc4Hg3Ir (PBE-GGA)

Data for crystalline Sc4Hg3Ir at its relaxed geometry.

Spin magnetization in μB/f.u.: 0.5
Energy of formation in eV/f.u.: -4.576

```
data_Sc4Hg3Ir
_symmetry_space_group_name_H-M 'P 4/m m m'
_symmetry_Int_Tables_number 123
_symmetry_space_group_name_Hall '-P 4 2'
_cell_length_a 3.359
_cell_length_b 3.359
_cell_length_c 14.590
_cell_angle_alpha 90.00
_cell_angle_beta 90.00
_cell_angle_gamma 90.00
loop_
_atom_site_label
_atom_site_fract_x
_atom_site_fract_y
_atom_site_fract_z
Sc1 0.000 0.000 0.104
Sc2 0.000 0.000 0.369
Hg1 0.500 0.500 0.240
Hg2 0.500 0.500 0.500
Ir1 0.500 0.500 0.000
```

---

(7)
## AcNdSm6Y2 (PBE-GGA)

Data for crystalline AcNdSm6Y2 at its relaxed geometry.

Spin magnetization in μB/f.u.: 0.0
Energy of formation in eV/f.u.: 1.241

```
data_AcNdSm6Y2
_symmetry_space_group_name_H-M 'C 1 2/c 1'
_symmetry_Int_Tables_number 15
_cell_length_a 9.536
_cell_length_b 15.299
_cell_length_c 9.688
_cell_angle_alpha 90.00
_cell_angle_beta 94.96
_cell_angle_gamma 90.00
loop_
_symmetry_equiv_pos_as_xyz
'x,y,z'
'-x,-y,-z'
'-x,y,-z+1/2'
'x,-y,z+1/2'
'x+1/2,y+1/2,z'
'-x+1/2,-y+1/2,-z'
'-x+1/2,y+1/2,-z+1/2'
'x+1/2,-y+1/2,z+1/2'
loop_
_atom_site_label
_atom_site_fract_x
_atom_site_fract_y
_atom_site_fract_z
Ac1 0.000 0.039 0.250
Nd1 0.000 0.409 0.750
Sm1 0.067 0.178 0.941
Sm2 0.092 0.385 0.116
Sm3 0.222 0.230 0.322
Y1 0.245 0.449 0.448
```

---

(8)
## CsInSn4 (PBE-GGA)

Data for crystalline CsInSn4 at its relaxed geometry.

Spin magnetization in μB/f.u.: 0.0
Energy of formation in eV/f.u.: -0.656

```
data_CsInSn4
_symmetry_space_group_name_H-M 'P 6/m m m'
_symmetry_Int_Tables_number 191
_symmetry_space_group_name_Hall '-P 6 2'
_cell_length_a 5.4307
_cell_length_b 5.4307
_cell_length_c 8.3281
_cell_angle_alpha 90.00
_cell_angle_beta 90.00
_cell_angle_gamma 120.00
loop_
_atom_site_label
_atom_site_fract_x
_atom_site_fract_y
_atom_site_fract_z
Cs1 0.0000 0.0000 0.0000
In1 0.0000 0.0000 0.5000
Sn1 0.3333 0.6667 0.3240
```

---

(9)
## Pr6Rh2N (PBE-GGA)

Data for crystalline Pr6Rh2N at its relaxed geometry.

Formation energy (no corrections) in eV per atom: -0.619
Spin magnetization in μB/f.u.: 0.0

```
data_Pr6Rh2N
_symmetry_space_group_name_H-M 'P 1 21/c 1'
_symmetry_Int_Tables_number 14
_cell_length_a 6.657
_cell_length_b 7.345
_cell_length_c 11.920
_cell_angle_alpha 90.00
_cell_angle_beta 122.87
_cell_angle_gamma 90.00
loop_
_symmetry_equiv_pos_as_xyz
'x,y,z'
'-x,-y,-z'
'-x,y+1/2,-z+1/2'
'x,-y+1/2,z+1/2'
loop_
_atom_site_label
_atom_site_fract_x
_atom_site_fract_y
_atom_site_fract_z
Pr1 0.110 0.042 0.239
Pr2 0.236 0.689 0.064
Pr3 0.373 0.169 0.061
Rh1 0.303 0.103 0.754
N1 0.000 0.000 0.000
```

---

(10)
## NaMg3Zn (PBE-GGA)

Data for crystalline NaMg3Zn at its relaxed geometry.

Spin magnetization in μB/f.u.: 0.0
Energy of formation in eV/f.u.: 0.648

```
data_NaMg3Zn
_symmetry_space_group_name_H-M 'P m -3 m'
_symmetry_Int_Tables_number 221
_symmetry_space_group_name_Hall '-P 4 2 3'
_cell_length_a 5.117
_cell_length_b 5.117
_cell_length_c 5.117
_cell_angle_alpha 90.00
_cell_angle_beta 90.00
_cell_angle_gamma 90.00
loop_
_atom_site_label
_atom_site_fract_x
_atom_site_fract_y
_atom_site_fract_z
Na1 0.000 0.000 0.000
Mg1 0.000 0.500 0.500
Zn1 0.500 0.500 0.500
```

---

(11)
## Ca4PmPa3As8 (PBE-GGA)

Data for crystalline Ca4PmPa3As8 at its relaxed geometry.

Spin magnetization in μB/f.u.: 1.4
Energy of formation in eV/f.u.: -19.411

```
data_Ca4PmPa3As8
_symmetry_space_group_name_H-M 'R -3 m'
_symmetry_Int_Tables_number 166
_symmetry_space_group_name_Hall '-R 3 2"'
_cell_length_a 8.4027
_cell_length_b 8.4027
_cell_length_c 20.4872
_cell_angle_alpha 90.00
_cell_angle_beta 90.00
_cell_angle_gamma 120.00
loop_
_atom_site_label
_atom_site_fract_x
_atom_site_fract_y
_atom_site_fract_z
Ca1 0.0000 0.0000 0.0000
Ca2 0.0000 0.5000 0.0000
Pm1 0.0000 0.0000 0.5000
Pa1 0.0000 0.5000 0.5000
As1 0.0000 0.0000 0.2443
As2 0.0097 0.5049 0.7552
```

---

(12)
## Co3Au (PBE-GGA)

Data for crystalline Co3Au at its relaxed geometry.

Spin magnetization in μB/f.u.: 5.2
Energy of formation in eV/f.u.: 0.909

```
data_Co3Au
_symmetry_space_group_name_H-M 'I m m 2'
_symmetry_Int_Tables_number 44
_cell_length_a 2.700
_cell_length_b 8.481
_cell_length_c 4.491
_cell_angle_alpha 90.00
_cell_angle_beta 90.00
_cell_angle_gamma 90.00
loop_
_symmetry_equiv_pos_as_xyz
'x,y,z'
'-x,-y,z'
'-x,y,z'
'x,-y,z'
'x+1/2,y+1/2,z+1/2'
'-x+1/2,-y+1/2,z+1/2'
'-x+1/2,y+1/2,z+1/2'
'x+1/2,-y+1/2,z+1/2'
loop_
_atom_site_label
_atom_site_fract_x
_atom_site_fract_y
_atom_site_fract_z
Co1 0.000 0.000 0.000
Co2 0.000 0.260 0.358
Au1 0.000 0.500 0.994
```

---

(13)
## Dy2TmZn (PBE-GGA)

Data for crystalline Dy2TmZn at its relaxed geometry.

Spin magnetization in μB/f.u.: 0.0
Energy of formation in eV/f.u.: -0.628

```
data_Dy2TmZn
_symmetry_space_group_name_H-M 'P 4/m m m'
_symmetry_Int_Tables_number 123
_symmetry_space_group_name_Hall '-P 4 2'
_cell_length_a 3.551
_cell_length_b 3.551
_cell_length_c 8.523
_cell_angle_alpha 90.00
_cell_angle_beta 90.00
_cell_angle_gamma 90.00
loop_
_atom_site_label
_atom_site_fract_x
_atom_site_fract_y
_atom_site_fract_z
Dy1 0.000 0.000 0.209
Tm1 0.500 0.500 0.500
Zn1 0.500 0.500 0.000
```

---

(14)
## Na2TaBi (PBE-GGA)

Data for crystalline Na2TaBi at its relaxed geometry.

Spin magnetization in μB/f.u.: 2.0
Energy of formation in eV/f.u.: 3.598

```
data_Na2TaBi
_symmetry_space_group_name_H-M 'I -4 2 d'
_symmetry_Int_Tables_number 122
_symmetry_space_group_name_Hall 'I -4 2bw'
_cell_length_a 8.904
_cell_length_b 8.904
_cell_length_c 5.661
_cell_angle_alpha 90.00
_cell_angle_beta 90.00
_cell_angle_gamma 90.00
loop_
_atom_site_label
_atom_site_fract_x
_atom_site_fract_y
_atom_site_fract_z
Na1 0.241 0.250 0.125
Ta1 0.000 0.000 0.500
Bi1 0.000 0.000 0.000
```

---

(15)
## Dy2Tm12Pu (PBE-GGA)

Data for crystalline Dy2Tm12Pu at its relaxed geometry.

Spin magnetization in μB/f.u.: 6.7
Energy of formation in eV/f.u.: 2.050

```
data_Dy2Tm12Pu
_symmetry_space_group_name_H-M 'C 1 2/m 1'
_symmetry_Int_Tables_number 12
_cell_length_a 6.988
_cell_length_b 10.966
_cell_length_c 23.955
_cell_angle_alpha 90.00
_cell_angle_beta 94.20
_cell_angle_gamma 90.00
loop_
_symmetry_equiv_pos_as_xyz
'x,y,z'
'-x,-y,-z'
'-x,y,-z'
'x,-y,z'
'x+1/2,y+1/2,z'
'-x+1/2,-y+1/2,-z'
'-x+1/2,y+1/2,-z'
'x+1/2,-y+1/2,z'
loop_
_atom_site_label
_atom_site_fract_x
_atom_site_fract_y
_atom_site_fract_z
Dy1 0.065 0.000 0.270
Dy2 0.066 0.500 0.270
Tm1 0.016 0.250 0.073
Tm2 0.111 0.250 0.445
Tm3 0.143 0.000 0.575
Tm4 0.144 0.500 0.574
Tm5 0.169 0.250 0.669
Tm6 0.202 0.250 0.800
Tm7 0.219 0.000 0.865
Tm8 0.219 0.500 0.865
Pu1 0.250 0.000 0.000
```

---

(16)
## MgTe2MoN (PBE-GGA)

Data for crystalline MgTe2MoN at its relaxed geometry.

Formation energy (no corrections) in eV per atom: 1.058
Spin magnetization in μB/f.u.: 5.1

```
data_MgTe2MoN
_symmetry_space_group_name_H-M 'P 4/m m m'
_symmetry_Int_Tables_number 123
_symmetry_space_group_name_Hall '-P 4 2'
_cell_length_a 5.536
_cell_length_b 5.536
_cell_length_c 3.846
_cell_angle_alpha 90.00
_cell_angle_beta 90.00
_cell_angle_gamma 90.00
loop_
_atom_site_label
_atom_site_fract_x
_atom_site_fract_y
_atom_site_fract_z
Mg1 0.000 0.000 0.000
Te1 0.000 0.500 0.000
Mo1 0.500 0.500 0.500
N1 0.000 0.000 0.500
```

---

(17)
## SrLaPd (PBE-GGA)

Data for crystalline SrLaPd at its relaxed geometry.

Spin magnetization in μB/f.u.: 0.0
Energy of formation in eV/f.u.: -1.410

```
data_SrLaPd
_symmetry_space_group_name_H-M 'P -1'
_symmetry_Int_Tables_number 2
_cell_length_a 3.955
_cell_length_b 7.187
_cell_length_c 7.858
_cell_angle_alpha 74.79
_cell_angle_beta 75.49
_cell_angle_gamma 74.08
loop_
_symmetry_equiv_pos_as_xyz
'x,y,z'
'-x,-y,-z'
loop_
_atom_site_label
_atom_site_fract_x
_atom_site_fract_y
_atom_site_fract_z
Sr1 0.169 0.244 0.421
La1 0.413 0.265 0.910
Pd1 0.110 0.961 0.818
```

---

(18)
## TbHo2Cu (PBE-GGA)

Data for crystalline TbHo2Cu at its relaxed geometry.

Spin magnetization in μB/f.u.: 0.0
Energy of formation in eV/f.u.: -0.432

```
data_TbHo2Cu
_symmetry_space_group_name_H-M 'P n m a'
_symmetry_Int_Tables_number 62
_cell_length_a 6.799
_cell_length_b 9.694
_cell_length_c 6.467
_cell_angle_alpha 90.00
_cell_angle_beta 90.00
_cell_angle_gamma 90.00
loop_
_symmetry_equiv_pos_as_xyz
'x,y,z'
'-x,-y,-z'
'-x+1/2,-y,z+1/2'
'x+1/2,y,-z+1/2'
'x+1/2,-y+1/2,-z+1/2'
'-x+1/2,y+1/2,z+1/2'
'-x,y+1/2,-z'
'x,-y+1/2,z'
loop_
_atom_site_label
_atom_site_fract_x
_atom_site_fract_y
_atom_site_fract_z
Tb1 0.017 0.250 0.132
Ho1 0.189 0.059 0.684
Cu1 0.097 0.750 0.445
```

---

(19)
## TaRe2Ag (PBE-GGA)

Data for crystalline TaRe2Ag at its relaxed geometry.

Spin magnetization in μB/f.u.: 0.0
Energy of formation in eV/f.u.: 1.239

```
data_TaRe2Ag
_symmetry_space_group_name_H-M 'C m m 2'
_symmetry_Int_Tables_number 35
_cell_length_a 3.192
_cell_length_b 4.464
_cell_length_c 9.231
_cell_angle_alpha 90.00
_cell_angle_beta 90.00
_cell_angle_gamma 90.00
loop_
_symmetry_equiv_pos_as_xyz
'x,y,z'
'-x,-y,z'
'-x,y,z'
'x,-y,z'
'x+1/2,y+1/2,z'
'-x+1/2,-y+1/2,z'
'-x+1/2,y+1/2,z'
'x+1/2,-y+1/2,z'
loop_
_atom_site_label
_atom_site_fract_x
_atom_site_fract_y
_atom_site_fract_z
Ta1 0.000 0.000 0.000
Re1 0.000 0.000 0.529
Re2 0.000 0.500 0.758
Ag1 0.000 0.500 0.265
```

---

(20)
## MnCoTc2 (PBE-GGA)

Data for crystalline MnCoTc2 at its relaxed geometry.

Spin magnetization in μB/f.u.: 0.8
Energy of formation in eV/f.u.: 0.198

```
data_MnCoTc2
_symmetry_space_group_name_H-M 'F 2 2 2'
_symmetry_Int_Tables_number 22
_symmetry_space_group_name_Hall 'F 2 2'
_cell_length_a 5.282
_cell_length_b 5.292
_cell_length_c 7.369
_cell_angle_alpha 90.00
_cell_angle_beta 90.00
_cell_angle_gamma 90.00
loop_
_atom_site_label
_atom_site_fract_x
_atom_site_fract_y
_atom_site_fract_z
Mn1 0.000 0.000 0.000
Co1 0.250 0.250 0.250
Tc1 0.000 0.000 0.500
Tc2 0.250 0.250 0.750
```